No. 1
Density functional theory data (PBE) for Li4Nd2Mg5 after structural relaxation.

Cell lengths 10.167, 9.437, 5.828 Å; angles 79.71, 65.95, 34.33 degrees
Atoms (fractional coordinates):
Li1 0.016 0.717 0.283
Li2 0.283 0.984 0.016
Li3 0.717 0.016 0.984
Li4 0.984 0.283 0.717
Nd1 0.382 0.382 0.618
Nd2 0.618 0.618 0.382
Mg1 0.000 0.000 0.000
Mg2 0.000 0.000 0.500
Mg3 0.250 0.250 0.250
Mg4 0.500 0.500 0.000
Mg5 0.750 0.750 0.750

Values from the calculation:
Space group: No. 69

---

No. 2
Density functional theory data (PBE) for Ho3HfNi8 after structural relaxation.

Cell lengths 8.693, 8.693, 8.693 Å; angles 33.48, 33.48, 33.48 degrees
Atoms (fractional coordinates):
Ho1 0.000 0.000 0.000
Ho2 0.126 0.126 0.126
Ho3 0.501 0.501 0.501
Hf1 0.625 0.625 0.625
Ni1 0.057 0.563 0.563
Ni2 0.064 0.064 0.567
Ni3 0.064 0.567 0.064
Ni4 0.313 0.313 0.313
Ni5 0.563 0.057 0.563
Ni6 0.563 0.563 0.057
Ni7 0.567 0.064 0.064
Ni8 0.813 0.813 0.813

Values from the calculation:
Space group: No. 160

---

No. 3
Density functional theory data (PBE) for NdNiH after structural relaxation.

Cell lengths 7.036, 4.766, 5.406 Å; angles 90.00, 90.00, 90.00 degrees
Atoms (fractional coordinates):
Nd1 0.188 0.250 0.140
Nd2 0.312 0.750 0.640
Nd3 0.688 0.250 0.360
Nd4 0.812 0.750 0.860
Ni1 0.037 0.250 0.645
Ni2 0.463 0.750 0.145
Ni3 0.537 0.250 0.855
Ni4 0.963 0.750 0.355
H1 0.216 0.750 0.199
H2 0.284 0.250 0.699
H3 0.716 0.750 0.301
H4 0.784 0.250 0.801

Values from the calculation:
Relative energy among the computed polymorphs in meV per atom: 26
Space group: No. 62

---

| no. | E_tot (eV for the cell shown) |
| --- | --- |
| 1 | -24.63 |
| 2 | -75.33 |
| 3 | -60.01 |